Entry 1:
# FeTeW GGA-PBE relaxed
# - symmetry = I4mm
# - energy above the most stable polymorph in this dataset (eV/atom) = 0.044
# - D(E_F) (states/eV/cell) = 2.53
# - E_form (uncorrected) (meV per atom) = 639
# - total magnetic moment (μB/cell) = 0.690
data_FeTeW
_symmetry_space_group_name_H-M 'P 1'
_symmetry_Int_Tables_number 1
_cell_length_a 5.671
_cell_length_b 5.671
_cell_length_c 5.671
_cell_angle_alpha 148.57
_cell_angle_beta 148.57
_cell_angle_gamma 45.05
loop_
_symmetry_equiv_pos_as_xyz
'x,y,z'
loop_
_atom_site_label
_atom_site_type_symbol
_atom_site_fract_x
_atom_site_fract_y
_atom_site_fract_z
Fe1 Fe 0.000 0.000 0.000
Te1 Te 0.328 0.328 0.000
W1 W 0.637 0.637 0.000

---

Entry 2:
# FePPb4 GGA-PBE relaxed
# - symmetry = F-43m
# - D(E_F) (states/eV/cell) = 7.88
# - total magnetic moment (μB/cell) = 2.953
# - energy of formation (eV/f.u.) = 5.7
data_FePPb4
_symmetry_space_group_name_H-M 'P 1'
_symmetry_Int_Tables_number 1
_cell_length_a 6.298
_cell_length_b 6.298
_cell_length_c 6.298
_cell_angle_alpha 60.00
_cell_angle_beta 60.00
_cell_angle_gamma 60.00
loop_
_symmetry_equiv_pos_as_xyz
'x,y,z'
loop_
_atom_site_label
_atom_site_type_symbol
_atom_site_fract_x
_atom_site_fract_y
_atom_site_fract_z
Fe1 Fe 0.000 0.000 0.000
P1 P 0.750 0.750 0.750
Pb1 Pb 0.375 0.375 0.375
Pb2 Pb 0.375 0.375 0.876
Pb3 Pb 0.375 0.876 0.375
Pb4 Pb 0.876 0.375 0.375

---

Entry 3:
# Cu2SiRh GGA-PBE relaxed
# - symmetry = I4/mmm
# - D(E_F) (states/eV/cell) = 2.23
# - E_form (uncorrected) (meV per atom) = -213
# - total magnetic moment (μB/cell) = 0.000
data_Cu2SiRh
_symmetry_space_group_name_H-M 'P 1'
_symmetry_Int_Tables_number 1
_cell_length_a 4.791
_cell_length_b 4.791
_cell_length_c 4.791
_cell_angle_alpha 136.92
_cell_angle_beta 136.92
_cell_angle_gamma 62.56
loop_
_symmetry_equiv_pos_as_xyz
'x,y,z'
loop_
_atom_site_label
_atom_site_type_symbol
_atom_site_fract_x
_atom_site_fract_y
_atom_site_fract_z
Cu1 Cu 0.250 0.750 0.500
Cu2 Cu 0.750 0.250 0.500
Si1 Si 0.000 0.000 0.000
Rh1 Rh 0.500 0.500 0.000

---

Entry 4:
# Mg2Ti2Te GGA-PBE relaxed
# - symmetry = P4/mbm
# - D(E_F) (states/eV/cell) = 7.83
# - E_form (uncorrected) (meV per atom) = -63
# - total magnetic moment (μB/cell) = 0.000
data_Mg2Ti2Te
_symmetry_space_group_name_H-M 'P 1'
_symmetry_Int_Tables_number 1
_cell_length_a 6.936
_cell_length_b 6.936
_cell_length_c 4.507
_cell_angle_alpha 90.00
_cell_angle_beta 90.00
_cell_angle_gamma 90.00
loop_
_symmetry_equiv_pos_as_xyz
'x,y,z'
loop_
_atom_site_label
_atom_site_type_symbol
_atom_site_fract_x
_atom_site_fract_y
_atom_site_fract_z
Mg1 Mg 0.151 0.349 0.000
Mg2 Mg 0.349 0.849 0.000
Mg3 Mg 0.651 0.151 0.000
Mg4 Mg 0.849 0.651 0.000
Ti1 Ti 0.143 0.643 0.500
Ti2 Ti 0.357 0.143 0.500
Ti3 Ti 0.643 0.857 0.500
Ti4 Ti 0.857 0.357 0.500
Te1 Te 0.000 0.000 0.500
Te2 Te 0.500 0.500 0.500

---

Entry 5:
# SmNi4Ag GGA-PBE relaxed
# - symmetry = F-43m
# - D(E_F) (states/eV/cell) = 6.57
# - total magnetic moment (μB/cell) = 0.829
# - energy of formation (eV/f.u.) = -1.5
data_SmNi4Ag
_symmetry_space_group_name_H-M 'P 1'
_symmetry_Int_Tables_number 1
_cell_length_a 4.986
_cell_length_b 4.986
_cell_length_c 4.986
_cell_angle_alpha 60.00
_cell_angle_beta 60.00
_cell_angle_gamma 60.00
loop_
_symmetry_equiv_pos_as_xyz
'x,y,z'
loop_
_atom_site_label
_atom_site_type_symbol
_atom_site_fract_x
_atom_site_fract_y
_atom_site_fract_z
Sm1 Sm 0.000 0.000 0.000
Ni1 Ni 0.127 0.624 0.624
Ni2 Ni 0.624 0.127 0.624
Ni3 Ni 0.624 0.624 0.127
Ni4 Ni 0.624 0.624 0.624
Ag1 Ag 0.250 0.250 0.250

---

Entry 6:
# RbV2Tc2 GGA-PBE relaxed
# - symmetry = I4/mmm
# - energy above the most stable polymorph in this dataset (eV/atom) = 0.046
# - D(E_F) (states/eV/cell) = 4.40
# - total magnetic moment (μB/cell) = 0.138
# - energy of formation (eV/f.u.) = 3.7
data_RbV2Tc2
_symmetry_space_group_name_H-M 'P 1'
_symmetry_Int_Tables_number 1
_cell_length_a 7.452
_cell_length_b 7.452
_cell_length_c 7.452
_cell_angle_alpha 148.26
_cell_angle_beta 148.26
_cell_angle_gamma 45.50
loop_
_symmetry_equiv_pos_as_xyz
'x,y,z'
loop_
_atom_site_label
_atom_site_type_symbol
_atom_site_fract_x
_atom_site_fract_y
_atom_site_fract_z
Rb1 Rb 0.000 0.000 0.000
V1 V 0.347 0.347 0.000
V2 V 0.653 0.653 0.000
Tc1 Tc 0.250 0.750 0.500
Tc2 Tc 0.750 0.250 0.500

---

Entry 7:
# ScZnN3 GGA-PBE relaxed
# - symmetry = Pm-3m
# - D(E_F) (states/eV/cell) = 4.11
# - E_form (uncorrected) (meV per atom) = 1209
# - total magnetic moment (μB/cell) = 1.775
data_ScZnN3
_symmetry_space_group_name_H-M 'P 1'
_symmetry_Int_Tables_number 1
_cell_length_a 4.092
_cell_length_b 4.092
_cell_length_c 4.092
_cell_angle_alpha 90.00
_cell_angle_beta 90.00
_cell_angle_gamma 90.00
loop_
_symmetry_equiv_pos_as_xyz
'x,y,z'
loop_
_atom_site_label
_atom_site_type_symbol
_atom_site_fract_x
_atom_site_fract_y
_atom_site_fract_z
Sc1 Sc 0.000 0.000 0.000
Zn1 Zn 0.500 0.500 0.500
N1 N 0.000 0.000 0.500
N2 N 0.000 0.500 0.000
N3 N 0.500 0.000 0.000

---

Entry 8:
# Pr2Er5TmTh GGA-PBE relaxed
# - symmetry = I4/mcm
# - D(E_F) (states/eV/cell) = 22.16
# - total magnetic moment (μB/cell) = 0.001
# - energy of formation (eV/f.u.) = 2.7
data_Pr2Er5TmTh
_symmetry_space_group_name_H-M 'P 1'
_symmetry_Int_Tables_number 1
_cell_length_a 9.851
_cell_length_b 9.851
_cell_length_c 9.851
_cell_angle_alpha 127.78
_cell_angle_beta 127.78
_cell_angle_gamma 76.99
loop_
_symmetry_equiv_pos_as_xyz
'x,y,z'
loop_
_atom_site_label
_atom_site_type_symbol
_atom_site_fract_x
_atom_site_fract_y
_atom_site_fract_z
Pr1 Pr 0.117 0.617 0.734
Pr2 Pr 0.383 0.117 0.500
Pr3 Pr 0.617 0.883 0.500
Pr4 Pr 0.883 0.383 0.266
Er1 Er 0.000 0.000 0.000
Er2 Er 0.073 0.145 0.500
Er3 Er 0.145 0.645 0.072
Er4 Er 0.355 0.427 0.500
Er5 Er 0.427 0.927 0.072
Er6 Er 0.500 0.500 0.000
Er7 Er 0.573 0.073 0.928
Er8 Er 0.645 0.573 0.500
Er9 Er 0.855 0.355 0.928
Er10 Er 0.927 0.855 0.500
Tm1 Tm 0.250 0.750 0.500
Tm2 Tm 0.750 0.250 0.500
Th1 Th 0.250 0.250 0.000
Th2 Th 0.750 0.750 0.000

---

Entry 9:
# AgRuCl GGA-PBE relaxed
# - symmetry = F-43m
# - energy above the most stable polymorph in this dataset (eV/atom) = 0.453
# - D(E_F) (states/eV/cell) = 3.61
# - E_form (uncorrected) (meV per atom) = 879
# - total magnetic moment (μB/cell) = 2.390
data_AgRuCl
_symmetry_space_group_name_H-M 'P 1'
_symmetry_Int_Tables_number 1
_cell_length_a 4.423
_cell_length_b 4.423
_cell_length_c 4.423
_cell_angle_alpha 60.00
_cell_angle_beta 60.00
_cell_angle_gamma 60.00
loop_
_symmetry_equiv_pos_as_xyz
'x,y,z'
loop_
_atom_site_label
_atom_site_type_symbol
_atom_site_fract_x
_atom_site_fract_y
_atom_site_fract_z
Ag1 Ag 0.000 0.000 0.000
Ru1 Ru 0.250 0.250 0.250
Cl1 Cl 0.500 0.500 0.500

---

Entry 10:
# CaBeAsBr2 GGA-PBE relaxed
# - symmetry = P4/mmm
# - energy above the most stable polymorph in this dataset (eV/atom) = 0.653
# - D(E_F) (states/eV/cell) = 2.27
# - E_form (uncorrected) (meV per atom) = 150
# - total magnetic moment (μB/cell) = 1.824
data_CaBeAsBr2
_symmetry_space_group_name_H-M 'P 1'
_symmetry_Int_Tables_number 1
_cell_length_a 5.517
_cell_length_b 5.517
_cell_length_c 6.100
_cell_angle_alpha 90.00
_cell_angle_beta 90.00
_cell_angle_gamma 90.00
loop_
_symmetry_equiv_pos_as_xyz
'x,y,z'
loop_
_atom_site_label
_atom_site_type_symbol
_atom_site_fract_x
_atom_site_fract_y
_atom_site_fract_z
Ca1 Ca 0.000 0.000 0.000
Be1 Be 0.500 0.500 0.500
As1 As 0.000 0.000 0.500
Br1 Br 0.000 0.500 0.000
Br2 Br 0.500 0.000 0.000

---

Entry 11:
# La3DyPb3 GGA-PBE relaxed
# - symmetry = C2/m
# - D(E_F) (states/eV/cell) = 11.59
# - total magnetic moment (μB/cell) = 0.000
# - energy of formation (eV/f.u.) = -2.5
data_La3DyPb3
_symmetry_space_group_name_H-M 'P 1'
_symmetry_Int_Tables_number 1
_cell_length_a 8.073
_cell_length_b 8.073
_cell_length_c 8.500
_cell_angle_alpha 91.92
_cell_angle_beta 91.92
_cell_angle_gamma 114.21
loop_
_symmetry_equiv_pos_as_xyz
'x,y,z'
loop_
_atom_site_label
_atom_site_type_symbol
_atom_site_fract_x
_atom_site_fract_y
_atom_site_fract_z
La1 La 0.164 0.836 0.000
La2 La 0.229 0.771 0.500
La3 La 0.384 0.384 0.138
La4 La 0.616 0.616 0.862
La5 La 0.771 0.229 0.500
La6 La 0.836 0.164 0.000
Dy1 Dy 0.268 0.268 0.578
Dy2 Dy 0.732 0.732 0.422
Pb1 Pb 0.054 0.054 0.282
Pb2 Pb 0.144 0.490 0.796
Pb3 Pb 0.490 0.144 0.796
Pb4 Pb 0.510 0.856 0.204
Pb5 Pb 0.856 0.510 0.204
Pb6 Pb 0.946 0.946 0.718

---

Entry 12:
# AcNiGe2Pd GGA-PBE relaxed
# - symmetry = I-4m2
# - D(E_F) (states/eV/cell) = 4.26
# - total magnetic moment (μB/cell) = 0.000
# - energy of formation (eV/f.u.) = -3.5
data_AcNiGe2Pd
_symmetry_space_group_name_H-M 'P 1'
_symmetry_Int_Tables_number 1
_cell_length_a 5.972
_cell_length_b 5.972
_cell_length_c 5.972
_cell_angle_alpha 136.60
_cell_angle_beta 136.60
_cell_angle_gamma 63.06
loop_
_symmetry_equiv_pos_as_xyz
'x,y,z'
loop_
_atom_site_label
_atom_site_type_symbol
_atom_site_fract_x
_atom_site_fract_y
_atom_site_fract_z
Ac1 Ac 0.000 0.000 0.000
Ni1 Ni 0.250 0.750 0.500
Ge1 Ge 0.368 0.368 0.000
Ge2 Ge 0.632 0.632 0.000
Pd1 Pd 0.750 0.250 0.500

---

- Among the records above, which one has the highest D(E_F)?
  Pr2Er5TmTh